This record from Alexandria via LeMat-Bulk describes ZnCo2O after structural relaxation. The functional is PBE+U.

Cell lengths 5.0540, 5.0540, 10.4169 Å; angles 90.00, 90.00, 90.00 degrees
With the nearest neighbours (Å) after each atom.
Space group I-42d (No. 122)
Inequivalent atoms, fractional coordinates:
1 Zn 0.0000 0.0000 0.0000 [4 per cell]  4 Co 2.71
2 Co 0.1015 0.2500 0.6250 [8 per cell]  2 O 1.89
3 O 0.0000 0.0000 0.5000 [4 per cell]  4 Co 1.89

Summary:
The calculation puts the energy above the most stable polymorph in this dataset at 0.0 meV per atom. The volume is 67 Å³/f.u. As for the raw total energy: -64.68 eV for the cell shown. For the spin magnetization, the calculation gives 16.09 μB/cell.